## InSe3Cl (PBE-GGA)

Data for crystalline InSe3Cl at its relaxed geometry.

Cell and atoms, written as extended XYZ:
```
5
Lattice="5.089 0.000 0.000 0.000 5.089 0.000 0.000 0.000 5.089" Properties=species:S:1:pos:R:3 pbc="T T T"
In 0.000 0.000 0.000
Se 0.000 2.544 2.544
Se 2.544 0.000 2.544
Se 2.544 2.544 0.000
Cl 2.544 2.544 2.544
```

Computed properties:
E above lowest polymorph	28.6	meV per atom
space group	Pm-3m
E	-0.089	hartree per atom
calculated volume	131.8	Å³ per cell
energy relative to the elements, uncorrected	575	meV/atom
Fermi-level density of states	3.7	states/eV/f.u.